1.
This record from Alexandria via LeMat-Bulk describes a relaxed CsLi3S crystal. The functional is PBE.

a = 5.1217 Å, b = 5.1217 Å, c = 5.1217 Å
α = 90.00°, β = 90.00°, γ = 90.00°
Space group Pm-3m (No. 221)
Inequivalent atoms, fractional coordinates:
Cs1 0.0000 0.0000 0.0000 x1
Li1 0.0000 0.5000 0.5000 x3
S1 0.5000 0.5000 0.5000 x1

Calculated values
Formation energy (no corrections) = -39 kJ/mol of atoms
Relative energy among the computed polymorphs = 0.0000 eV per atom


2.
This record from Alexandria via LeMat-Bulk describes a relaxed Ho4PuN5 crystal. The functional is PBE.

a = 7.7181 Å, b = 7.7181 Å, c = 4.8774 Å
α = 90.00°, β = 90.00°, γ = 90.00°
Space group I4/m (No. 87)
Inequivalent atoms, fractional coordinates:
Ho1 0.0999 0.6988 0.0000 x8
Pu1 0.0000 0.0000 0.5000 x2
N1 0.0000 0.0000 0.0000 x2
N2 0.0967 0.7050 0.5000 x8

Calculated values
Formation energy (no corrections) = -157 kJ/mol of atoms


3.
This record from Alexandria via LeMat-Bulk describes a relaxed ScVIr crystal. The functional is PBE.

a = 4.6998 Å, b = 8.0963 Å, c = 20.6892 Å
α = 90.00°, β = 90.00°, γ = 90.00°
Space group Fddd (No. 70, origin choice 2)
Inequivalent atoms, fractional coordinates:
Sc1 0.1250 0.2958 0.1250 x16
V1 0.1250 0.1250 0.9998 x16
Ir1 0.1250 0.1250 0.5608 x16

Calculated values
ΔH_f (0 K) = -0.4 eV/f.u.
Relative energy among the computed polymorphs = 0.2919 eV per atom


4.
This record from Alexandria via LeMat-Bulk describes a relaxed TlTc2Mo crystal. The functional is PBE.

a = 3.1583 Å, b = 4.8049 Å, c = 9.0850 Å
α = 90.00°, β = 90.00°, γ = 90.00°
Space group Cmmm (No. 65)
Inequivalent atoms, fractional coordinates:
Tl1 0.0000 0.0000 0.0000 x2
Tc1 0.0000 0.5000 0.2742 x4
Mo1 0.0000 0.0000 0.5000 x2

Calculated values
ΔH_f (0 K) = 2.1 eV/f.u.
Relative energy among the computed polymorphs = 0.1151 eV per atom


5.
This record from Alexandria via LeMat-Bulk describes a relaxed ThZnInCo crystal. The functional is PBE.

a = 6.8218 Å, b = 6.8218 Å, c = 6.8218 Å
α = 90.00°, β = 90.00°, γ = 90.00°
Space group F-43m (No. 216)
Inequivalent atoms, fractional coordinates:
Th1 0.0000 0.0000 0.0000 x4
Zn1 0.2500 0.2500 0.7500 x4
In1 0.0000 0.0000 0.5000 x4
Co1 0.2500 0.2500 0.2500 x4

Calculated values
ΔH_f (0 K) = -0.5 eV/f.u.


6.
This record from Alexandria via LeMat-Bulk describes a relaxed KYCuCl5 crystal. The functional is PBE.

a = 8.7112 Å, b = 11.8032 Å, c = 9.9407 Å
α = 90.00°, β = 113.03°, γ = 90.00°
Space group C2/c (No. 15)
Inequivalent atoms, fractional coordinates:
K1 0.0000 0.1492 0.2500 x4
Y1 0.0000 0.5000 0.0000 x4
Cu1 0.0000 0.1886 0.7500 x4
Cl1 0.0000 0.4168 0.2500 x4
Cl2 0.1104 0.2981 0.6146 x8
Cl3 0.1871 0.0665 0.9271 x8

Calculated values
Formation energy (no corrections) = -168 kJ/mol of atoms


7.
This record from Alexandria via LeMat-Bulk describes a relaxed BaHoTlPb crystal. The functional is PBE.

a = 8.1107 Å, b = 8.1107 Å, c = 8.1107 Å
α = 90.00°, β = 90.00°, γ = 90.00°
Space group F-43m (No. 216)
Inequivalent atoms, fractional coordinates:
Ba1 0.0000 0.0000 0.0000 x4
Ho1 0.0000 0.0000 0.5000 x4
Tl1 0.2500 0.2500 0.2500 x4
Pb1 0.2500 0.2500 0.7500 x4

Calculated values
ΔH_f (0 K) = -1.2 eV/f.u.


8.
This record from Alexandria via LeMat-Bulk describes a relaxed SbMo4Au crystal. The functional is PBE.

a = 7.5270 Å, b = 7.5270 Å, c = 7.5270 Å
α = 90.00°, β = 90.00°, γ = 90.00°
Space group F-43m (No. 216)
Inequivalent atoms, fractional coordinates:
Sb1 0.0000 0.0000 0.0000 x4
Mo1 0.1230 0.1230 0.3770 x16
Au1 0.2500 0.2500 0.7500 x4

Calculated values
Formation energy (no corrections) = 48 kJ/mol of atoms